# 1
A relaxed structure of SbAsPt, computed with PBE-GGA.

Cell: 3.8048 3.8048 5.1406 Å, 90.00 90.00 120.00°
Space group P3m1 (No. 156)
Unique sites:
Sb  0.0000  0.0000  0.0000 [1 per cell]
As  0.6667  0.3333  0.4359 [1 per cell]
Pt  0.3333  0.6667  0.6892 [1 per cell]

Output
For the uncorrected formation energy, the calculation gives -0.8 eV/f.u. For the total energy, the calculation gives -5.204 eV/atom. For the excess energy over the best structure of this formula in the dataset, the calculation gives 206 meV per atom. The value obtained for the density of states at the Fermi level is 2.014 states/eV/f.u. The crystal system is trigonal.

***

# 2
A relaxed structure of Sb3AsPt, computed with PBE-GGA.

Cell: 5.232 5.232 5.232 Å, 90.00 90.00 90.00°
Space group Pm-3m (No. 221)
Unique sites:
Sb  0.000  0.000  0.500 [3 per cell]
As  0.000  0.000  0.000 [1 per cell]
Pt  0.500  0.500  0.500 [1 per cell]

Output
For the uncorrected formation energy, the calculation gives 5.0 eV/f.u. For the total energy, the calculation gives -3.614 eV/atom. For the excess energy over the best structure of this formula in the dataset, the calculation gives 466 meV per atom. The value obtained for the density of states at the Fermi level is 1.778 states/eV/f.u. The crystal system is cubic.

***

# 3
A relaxed structure of SbAsPtSe2, computed with PBE-GGA.

Cell: 5.110 5.110 4.717 Å, 90.00 90.00 90.00°
Space group P4/mmm (No. 123)
Unique sites:
Sb  0.000  0.000  0.000 [1 per cell]
As  0.500  0.500  0.000 [1 per cell]
Pt  0.500  0.500  0.500 [1 per cell]
Se  0.000  0.500  0.500 [2 per cell]

Output
For the uncorrected formation energy, the calculation gives 1.9 eV/f.u. For the total energy, the calculation gives -3.975 eV/atom. For the excess energy over the best structure of this formula in the dataset, the calculation gives 0 meV per atom. The value obtained for the density of states at the Fermi level is 3.830 states/eV/f.u. The crystal system is tetragonal.

***

# 4
A relaxed structure of Si2SbAsPt, computed with PBE-GGA.

Cell: 5.155 5.155 4.928 Å, 90.00 90.00 90.00°
Space group P4/mmm (No. 123)
Unique sites:
Si  0.000  0.500  0.000 [2 per cell]
Sb  0.000  0.000  0.000 [1 per cell]
As  0.500  0.500  0.500 [1 per cell]
Pt  0.000  0.000  0.500 [1 per cell]

Output
For the uncorrected formation energy, the calculation gives 6.2 eV/f.u. For the total energy, the calculation gives -3.887 eV/atom. The value obtained for the density of states at the Fermi level is 4.278 states/eV/f.u. The crystal system is tetragonal.

***

# 5
A relaxed structure of Sr2SbAs3Pt4, computed with PBE-GGA.

Cell: 4.527 4.527 10.422 Å, 90.00 90.00 90.00°
Space group P-4m2 (No. 115)
Unique sites:
Sr  0.000  0.500  0.239 [2 per cell]
Sb  0.000  0.000  0.500 [1 per cell]
As  0.000  0.500  0.875 [2 per cell]
As  0.500  0.500  0.500 [1 per cell]
Pt  0.000  0.000  0.000 [1 per cell]
Pt  0.000  0.500  0.635 [2 per cell]
Pt  0.500  0.500  0.000 [1 per cell]

Output
For the uncorrected formation energy, the calculation gives -7.5 eV/f.u. For the total energy, the calculation gives -5.309 eV/atom. The value obtained for the density of states at the Fermi level is 5.296 states/eV/f.u. The crystal system is tetragonal.

***

# 6
A relaxed structure of Sr2SbAsPt6, computed with PBE-GGA.

Cell: 5.693 8.672 8.837 Å, 90.00 90.00 90.00°
Space group Pmmn (No. 59, origin choice 2)
Unique sites:
Sr  0.250  0.000  0.224 [4 per cell]
Sb  0.250  0.250  0.774 [2 per cell]
As  0.250  0.750  0.754 [2 per cell]
Pt  0.001  0.250  0.503 [4 per cell]
Pt  0.006  0.750  0.983 [4 per cell]
Pt  0.250  0.504  0.604 [4 per cell]

Output
For the uncorrected formation energy, the calculation gives -7.0 eV/f.u. For the total energy, the calculation gives -5.541 eV/atom. The value obtained for the density of states at the Fermi level is 4.226 states/eV/f.u. The crystal system is orthorhombic.

***

# 7
A relaxed structure of Sr4Sb2As2Pt, computed with PBE-GGA.

Cell: 9.799 8.840 6.330 Å, 90.00 92.69 90.00°
Space group C2/m (No. 12)
Unique sites:
Sr  0.136  0.244  0.240 [8 per cell]
Sb  0.111  0.000  0.669 [4 per cell]
As  0.101  0.500  0.867 [4 per cell]
Pt  0.000  0.500  0.500 [2 per cell]

Output
For the uncorrected formation energy, the calculation gives -8.1 eV/f.u. For the total energy, the calculation gives -4.268 eV/atom. The value obtained for the density of states at the Fermi level is 0.177 states/eV/f.u. The crystal system is monoclinic.

***

# 8
A relaxed structure of Sb2TeAsPt, computed with PBE-GGA.

Cell: 5.230 5.230 5.340 Å, 90.00 90.00 90.00°
Space group P4/mmm (No. 123)
Unique sites:
Sb  0.000  0.500  0.000 [2 per cell]
Te  0.000  0.000  0.500 [1 per cell]
As  0.000  0.000  0.000 [1 per cell]
Pt  0.500  0.500  0.500 [1 per cell]

Output
For the uncorrected formation energy, the calculation gives 5.1 eV/f.u. For the total energy, the calculation gives -3.405 eV/atom. For the excess energy over the best structure of this formula in the dataset, the calculation gives 468 meV per atom. The value obtained for the density of states at the Fermi level is 4.378 states/eV/f.u. The crystal system is tetragonal.

***

no.,size of the total moment (μB per atom)
1,0.00
2,0.00
3,0.00
4,0.00
5,0.00
6,0.00
7,0.00
8,0.00